A | Below is La2SbW2 after structural relaxation, with properties calculated at the PBE-GGA level.

Values from the calculation:
Symmetry: I4/mmm (139)
Magnetic moment, μB/cell: 0.00

abc: 6.852 6.852 6.852
angles: 139.29 139.29 58.93
Fractional positions:
La  0.250  0.750  0.500
La  0.750  0.250  0.500
Sb  0.000  0.000  0.000
W  0.595  0.595  0.000
W  0.405  0.405  0.000

B | Below is La2SbW2 after structural relaxation, with properties calculated at the PBE-GGA level.

Values from the calculation:
Symmetry: I4/mmm (139)
Magnetic moment, μB/cell: 0.00

abc: 10.109 10.109 10.109
angles: 158.74 158.74 30.24
Fractional positions:
La  0.612  0.612  0.000
La  0.388  0.388  0.000
Sb  0.000  0.000  0.000
W  0.250  0.750  0.500
W  0.750  0.250  0.500

Most favorable structure: B. The second most favorable one is 954 meV/atom above it.

A | Below is LaSbW3 after structural relaxation, with properties calculated at the PBE-GGA level.

Values from the calculation:
Symmetry: Pm-3m (221)
Magnetic moment, μB/cell: 0.00

abc: 4.925 4.925 4.925
angles: 90.00 90.00 90.00
Fractional positions:
Sb  0.500  0.500  0.500
W  0.000  0.500  0.000
W  0.000  0.000  0.500
W  0.500  0.000  0.000
La  0.000  0.000  0.000

B | Below is LaSbW3 after structural relaxation, with properties calculated at the PBE-GGA level.

Values from the calculation:
Symmetry: Pm-3m (221)
Magnetic moment, μB/cell: 0.00

abc: 4.997 4.997 4.997
angles: 90.00 90.00 90.00
Fractional positions:
Sb  0.000  0.000  0.000
W  0.000  0.500  0.000
W  0.000  0.000  0.500
W  0.500  0.000  0.000
La  0.500  0.500  0.500

Most favorable structure: B. The second most favorable one is 1003 meV/atom above it.

A | Below is LaYSb3 after structural relaxation, with properties calculated at the PBE-GGA level.

Values from the calculation:
Symmetry: Pm-3m (221)
Magnetic moment, μB/cell: 0.00

abc: 5.679 5.679 5.679
angles: 90.00 90.00 90.00
Fractional positions:
Y  0.000  0.000  0.000
Sb  0.000  0.500  0.000
Sb  0.000  0.000  0.500
Sb  0.500  0.000  0.000
La  0.500  0.500  0.500

B | Below is LaYSb3 after structural relaxation, with properties calculated at the PBE-GGA level.

Values from the calculation:
Symmetry: Pm-3m (221)
Magnetic moment, μB/cell: 0.00

abc: 5.876 5.876 5.876
angles: 90.00 90.00 90.00
Fractional positions:
Y  0.500  0.500  0.500
Sb  0.000  0.500  0.000
Sb  0.000  0.000  0.500
Sb  0.500  0.000  0.000
La  0.000  0.000  0.000

Most favorable structure: A. The second most favorable one is 505 meV/atom above it.

A | Below is La2YSb2 after structural relaxation, with properties calculated at the PBE-GGA level.

Values from the calculation:
Symmetry: P4/mbm (127)
Magnetic moment, μB/cell: 2.67

abc: 8.830 8.830 4.077
angles: 90.00 90.00 90.00
Fractional positions:
Y  0.000  0.000  0.000
Y  0.500  0.500  0.000
Sb  0.174  0.674  0.500
Sb  0.674  0.826  0.500
Sb  0.826  0.326  0.500
Sb  0.326  0.174  0.500
La  0.371  0.871  0.000
La  0.871  0.629  0.000
La  0.629  0.129  0.000
La  0.129  0.371  0.000

B | Below is La2YSb2 after structural relaxation, with properties calculated at the PBE-GGA level.

Values from the calculation:
Symmetry: P4/mbm (127)
Magnetic moment, μB/cell: 0.00

abc: 8.449 8.449 4.429
angles: 90.00 90.00 90.00
Fractional positions:
Y  0.000  0.000  0.000
Y  0.500  0.500  0.000
Sb  0.349  0.849  0.000
Sb  0.849  0.651  0.000
Sb  0.651  0.151  0.000
Sb  0.151  0.349  0.000
La  0.153  0.653  0.500
La  0.653  0.847  0.500
La  0.847  0.347  0.500
La  0.347  0.153  0.500

Most favorable structure: B. The second most favorable one is 413 meV/atom above it.

A | Below is LaY3Sb after structural relaxation, with properties calculated at the PBE-GGA level.

Values from the calculation:
Symmetry: Pm-3m (221)
Magnetic moment, μB/cell: 0.00

abc: 5.568 5.568 5.568
angles: 90.00 90.00 90.00
Fractional positions:
Y  0.000  0.500  0.000
Y  0.000  0.000  0.500
Y  0.500  0.000  0.000
Sb  0.500  0.500  0.500
La  0.000  0.000  0.000

B | Below is LaY3Sb after structural relaxation, with properties calculated at the PBE-GGA level.

Values from the calculation:
Symmetry: Pm-3m (221)
Magnetic moment, μB/cell: 2.50

abc: 5.774 5.774 5.774
angles: 90.00 90.00 90.00
Fractional positions:
Y  0.000  0.500  0.000
Y  0.000  0.000  0.500
Y  0.500  0.000  0.000
Sb  0.000  0.000  0.000
La  0.500  0.500  0.500

Most favorable structure: B. The second most favorable one is 728 meV/atom above it.

A | Below is La4ZnSb after structural relaxation, with properties calculated at the PBE-GGA level.

Values from the calculation:
Symmetry: F-43m (216)
Magnetic moment, μB/cell: 0.00

abc: 10.350 10.350 10.350
angles: 60.00 60.00 60.00
Fractional positions:
La  0.371  0.371  0.371
La  0.888  0.371  0.371
La  0.371  0.888  0.371
La  0.371  0.371  0.888
La  0.560  0.560  0.940
La  0.940  0.940  0.560
La  0.560  0.940  0.560
La  0.940  0.560  0.940
La  0.940  0.560  0.560
La  0.560  0.940  0.940
La  0.192  0.192  0.808
La  0.808  0.808  0.192
La  0.192  0.808  0.192
La  0.808  0.192  0.808
La  0.808  0.192  0.192
La  0.192  0.808  0.808
Zn  0.155  0.155  0.155
Zn  0.536  0.155  0.155
Zn  0.155  0.536  0.155
Zn  0.155  0.155  0.536
Sb  0.596  0.596  0.596
Sb  0.211  0.596  0.596
Sb  0.596  0.211  0.596
Sb  0.596  0.596  0.211

B | Below is La4ZnSb after structural relaxation, with properties calculated at the PBE-GGA level.

Values from the calculation:
Symmetry: F-43m (216)
Magnetic moment, μB/cell: 0.00

abc: 6.437 6.437 6.437
angles: 60.00 60.00 60.00
Fractional positions:
La  0.871  0.376  0.376
La  0.376  0.376  0.871
La  0.376  0.871  0.376
La  0.376  0.376  0.376
Zn  0.000  0.000  0.000
Sb  0.750  0.750  0.750

Most favorable structure: A. The second most favorable one is 546 meV/atom above it.

A | Below is LaZrSb2 after structural relaxation, with properties calculated at the PBE-GGA level.

Values from the calculation:
Symmetry: P2/m (10)
Magnetic moment, μB/cell: 0.00

abc: 3.963 3.498 8.038
angles: 73.70 90.00 90.00
Fractional positions:
La  0.500  0.750  0.750
Sb  0.000  0.983  0.028
Sb  0.000  0.517  0.472
Zr  0.500  0.250  0.250

B | Below is LaZrSb2 after structural relaxation, with properties calculated at the PBE-GGA level.

Values from the calculation:
Symmetry: R3m (160)
Magnetic moment, μB/cell: 0.00

abc: 11.718 11.718 11.718
angles: 16.71 16.71 16.71
Fractional positions:
La  0.752  0.752  0.752
Sb  0.007  0.007  0.007
Sb  0.238  0.238  0.238
Zr  0.503  0.503  0.503

Most favorable structure: A. The second most favorable one is 690 meV/atom above it.